This record from Alexandria describes Li3TlV4O12 after structural relaxation. The functional is PBE with a Hubbard U.

Calculated values
magnetic moment = 0.00 μB per formula unit
VASP energy = -0.2355 hartree per atom

The structure in CIF format:
```
data_Li3TlV4O12
_symmetry_space_group_name_H-M 'R 3 2'
_symmetry_Int_Tables_number 155
_symmetry_space_group_name_Hall 'R 3 2"'
_cell_length_a 11.5531
_cell_length_b 11.5531
_cell_length_c 6.5952
_cell_angle_alpha 90.00
_cell_angle_beta 90.00
_cell_angle_gamma 120.00
loop_
_atom_site_label
_atom_site_type_symbol
_atom_site_fract_x
_atom_site_fract_y
_atom_site_fract_z
Li1 Li 0.0000 0.5699 0.0000
Tl1 Tl 0.0000 0.0000 0.0000
V1 V 0.0000 0.0000 0.5000
V2 V 0.0000 0.4302 0.5000
O1 O 0.0000 0.5755 0.5000
O2 O 0.0000 0.8539 0.5000
O3 O 0.0641 0.2575 0.1568
```